## Sm2FeSbO7 (PBE with a Hubbard U)

Data for a relaxed Sm2FeSbO7 crystal.

Computed properties:
* volume: 287.0 Å³/cell
* electronic total energy: -161.696 eV for the cell shown
* density: 6.832 g/cm³

abc: 7.3998 7.3998 7.3998
angles: 120.31 119.46 90.20
Element x y z (fractional)
Sm  0.0000  0.0000  0.0000
Sm  0.5000  0.0000  0.0000
Sm  0.5000  0.0000  0.5000
Sm  0.5000  0.5000  0.5000
Fe  0.0000  0.0000  0.5000
Fe  0.0000  0.5000  0.0000
Sb  0.0000  0.5000  0.5000
Sb  0.5000  0.5000  0.0000
O  0.0863  0.8363  0.2500
O  0.0872  0.4238  0.2603
O  0.0872  0.8269  0.6634
O  0.3279  0.5779  0.7500
O  0.3365  0.1731  0.7603
O  0.3365  0.5762  0.1634
O  0.3764  0.1264  0.2500
O  0.6236  0.8736  0.7500
O  0.6635  0.4238  0.8366
O  0.6635  0.8269  0.2397
O  0.6721  0.4221  0.2500
O  0.9128  0.1731  0.3366
O  0.9128  0.5762  0.7397
O  0.9137  0.1637  0.7500